No. 1
The following is a PBE-GGA calculation of Li2NpF6 after structural relaxation, from Alexandria.

Calculated values
Formation energy (no corrections) (eV per atom): -3.245

Geometry as CIF:
```
data_Li2NpF6
_chemical_formula_sum 'Li4 Np2 F12'
_space_group_name_H-M_alt 'C 1 2/m 1'
_space_group_IT_number 12
_space_group_name_Hall '-C 2y'
_cell_length_a 10.424
_cell_length_b 3.972
_cell_length_c 6.850
_cell_angle_alpha 90.00
_cell_angle_beta 124.34
_cell_angle_gamma 90.00
loop_
_atom_site_label
_atom_site_type_symbol
_atom_site_fract_x
_atom_site_fract_y
_atom_site_fract_z
Li1 Li 0.175 0.000 0.103
Np1 Np 0.000 0.000 0.500
F1 F 0.033 0.000 0.214
F2 F 0.135 0.500 0.557
F3 F 0.241 0.000 0.849
```

=====

No. 2
The following is a PBE-GGA calculation of KAu2C2 after structural relaxation, from Alexandria.

Calculated values
E above lowest polymorph (eV/atom): 0.906
Formation enthalpy at 0 K (meV per atom): 1822.8

Geometry as CIF:
```
data_KAu2C2
_chemical_formula_sum 'K2 Au4 C4'
_space_group_name_H-M_alt 'P 4/m b m'
_space_group_IT_number 127
_space_group_name_Hall '-P 4 2ab'
_cell_length_a 7.545
_cell_length_b 7.545
_cell_length_c 2.918
_cell_angle_alpha 90.00
_cell_angle_beta 90.00
_cell_angle_gamma 90.00
loop_
_atom_site_label
_atom_site_type_symbol
_atom_site_fract_x
_atom_site_fract_y
_atom_site_fract_z
K1 K 0.000 0.000 0.000
Au1 Au 0.132 0.368 0.500
C1 C 0.124 0.624 0.000
```

=====

No. 3
The following is a PBE-GGA calculation of ZrBe3As after structural relaxation, from Alexandria.

Calculated values
E above lowest polymorph (eV/atom): 0.000
Formation enthalpy at 0 K (meV per atom): 678.3

Geometry as CIF:
```
data_ZrBe3As
_chemical_formula_sum 'Zr1 Be3 As1'
_space_group_name_H-M_alt 'P m -3 m'
_space_group_IT_number 221
_space_group_name_Hall '-P 4 2 3'
_cell_length_a 4.243
_cell_length_b 4.243
_cell_length_c 4.243
_cell_angle_alpha 90.00
_cell_angle_beta 90.00
_cell_angle_gamma 90.00
loop_
_atom_site_label
_atom_site_type_symbol
_atom_site_fract_x
_atom_site_fract_y
_atom_site_fract_z
Zr1 Zr 0.000 0.000 0.000
Be1 Be 0.000 0.500 0.500
As1 As 0.500 0.500 0.500
```

=====

No. 4
The following is a PBE-GGA calculation of TiTl2V2Se6 after structural relaxation, from Alexandria.

Calculated values
Formation energy (no corrections) (eV per atom): -0.728

Geometry as CIF:
```
data_TiTl2V2Se6
_chemical_formula_sum 'Ti2 Tl4 V4 Se12'
_space_group_name_H-M_alt 'C 1 2/m 1'
_space_group_IT_number 12
_space_group_name_Hall '-C 2y'
_cell_length_a 6.295
_cell_length_b 10.996
_cell_length_c 8.213
_cell_angle_alpha 90.00
_cell_angle_beta 105.69
_cell_angle_gamma 90.00
loop_
_atom_site_label
_atom_site_type_symbol
_atom_site_fract_x
_atom_site_fract_y
_atom_site_fract_z
Ti1 Ti 0.000 0.000 0.000
Tl1 Tl 0.000 0.160 0.500
V1 V 0.000 0.321 0.000
Se1 Se 0.222 0.500 0.179
Se2 Se 0.238 0.165 0.191
```

=====

No. 5
The following is a PBE-GGA calculation of Nd5Co2Ir after structural relaxation, from Alexandria.

Calculated values
Formation enthalpy at 0 K (meV per atom): -236.9

Geometry as CIF:
```
data_Nd5Co2Ir
_chemical_formula_sum 'Nd20 Co8 Ir4'
_space_group_name_H-M_alt 'I 4/m c m'
_space_group_IT_number 140
_space_group_name_Hall '-I 4 2c'
_cell_length_a 7.359
_cell_length_b 7.359
_cell_length_c 14.588
_cell_angle_alpha 90.00
_cell_angle_beta 90.00
_cell_angle_gamma 90.00
loop_
_atom_site_label
_atom_site_type_symbol
_atom_site_fract_x
_atom_site_fract_y
_atom_site_fract_z
Nd1 Nd 0.000 0.000 0.000
Nd2 Nd 0.179 0.321 0.142
Co1 Co 0.110 0.390 0.500
Ir1 Ir 0.000 0.000 0.250
```

=====

No. 6
The following is a PBE-GGA calculation of ScHgPb2S after structural relaxation, from Alexandria.

Calculated values
Formation energy (no corrections) (eV per atom): 0.581

Geometry as CIF:
```
data_ScHgPb2S
_chemical_formula_sum 'Sc1 Hg1 Pb2 S1'
_space_group_name_H-M_alt 'P 4/m m m'
_space_group_IT_number 123
_space_group_name_Hall '-P 4 2'
_cell_length_a 5.746
_cell_length_b 5.746
_cell_length_c 4.885
_cell_angle_alpha 90.00
_cell_angle_beta 90.00
_cell_angle_gamma 90.00
loop_
_atom_site_label
_atom_site_type_symbol
_atom_site_fract_x
_atom_site_fract_y
_atom_site_fract_z
Sc1 Sc 0.000 0.000 0.000
Hg1 Hg 0.500 0.500 0.500
Pb1 Pb 0.000 0.500 0.500
S1 S 0.500 0.500 0.000
```

=====

The records above yield total magnetization values of 6.00; 0.00; 0.00; 8.06; 0.00; 0.92 μB/cell, respectively.
The records above yield uncorrected energy values of -6.355; -3.397; -4.197; -5.435; -6.101; -3.055 eV/atom, respectively.